Record 1
Compound: InWI3
Source: the Alexandria database
Functional: PBE
Structure: relaxed

a = 5.729 Å, b = 5.729 Å, c = 5.729 Å
α = 90.00°, β = 90.00°, γ = 90.00°
Element x y z (fractional)
In: 0.000 0.000 0.000
W: 0.500 0.500 0.500
I: 0.000 0.500 0.500
I: 0.500 0.000 0.500
I: 0.500 0.500 0.000

* energy above the lowest structure with this stoichiometry: 0.000 eV/atom
* formation energy (no corrections): 2.003 eV per formula unit
* size of the total moment: 4.0 μB/cell
* calculated total energy: -0.135 hartree per atom
* space-group type: Pm-3m

---

Record 2
Compound: BaHgB2Sb
Source: the Alexandria database
Functional: PBE
Structure: relaxed

a = 4.705 Å, b = 4.705 Å, c = 5.980 Å
α = 90.00°, β = 90.00°, γ = 90.00°
Element x y z (fractional)
Ba: 0.000 0.000 0.000
Hg: 0.500 0.500 0.500
B: 0.000 0.500 0.500
B: 0.500 0.000 0.500
Sb: 0.500 0.500 0.000

* formation energy (no corrections): 5.806 eV per formula unit
* size of the total moment: 0.0 μB/cell
* calculated total energy: -0.102 hartree per atom
* space-group type: P4/mmm